No. 1
PmNdTe3: relaxed, GGA-PBE.

a = 8.338 Å, b = 7.472 Å, c = 11.431 Å
α = 90.00°, β = 90.00°, γ = 90.00°
Element x y z (fractional)
Pm  0.500  0.000  0.000
Pm  0.000  0.500  0.000
Pm  0.000  0.500  0.500
Pm  0.500  0.000  0.500
Te  0.055  0.333  0.750
Te  0.676  0.660  0.918
Te  0.676  0.660  0.582
Te  0.176  0.840  0.582
Te  0.176  0.840  0.918
Te  0.824  0.160  0.082
Te  0.445  0.833  0.250
Te  0.324  0.340  0.082
Te  0.555  0.167  0.750
Te  0.324  0.340  0.418
Te  0.945  0.667  0.250
Te  0.824  0.160  0.418
Nd  0.380  0.553  0.750
Nd  0.880  0.947  0.750
Nd  0.620  0.447  0.250
Nd  0.120  0.053  0.250

Calculated values
Energy relative to the elements, uncorrected (eV per atom): -1.388
Theoretical density (Mg/m³): 6.3
Offset from the most stable computed form (kcal/mol of atoms): 0.00
Uncorrected energy (eV per atom): -5.177


No. 2
Pu2ZrSc8: relaxed, GGA-PBE.

a = 13.323 Å, b = 7.636 Å, c = 7.636 Å
α = 86.22°, β = 132.38°, γ = 132.38°
Each line ends with the local moment (μB).
Element x y z (fractional)
Sc  0.806  0.660  0.153  0.08
Sc  0.194  0.847  0.340  0.08
Sc  0.707  0.129  0.129  0.08
Sc  0.893  0.621  0.621  0.17
Sc  0.107  0.379  0.379  0.17
Sc  0.293  0.871  0.871  0.08
Sc  0.806  0.153  0.660  0.08
Sc  0.194  0.340  0.847  0.08
Zr  0.000  0.000  0.000  -0.06
Pu  0.514  0.652  0.652  5.49
Pu  0.486  0.348  0.348  5.49

Calculated values
Theoretical density (Mg/m³): 5.2
Offset from the most stable computed form (kcal/mol of atoms): 6.91
Uncorrected energy (eV per atom): -7.511
N(E_F) (states/eV/f.u.): 24.0


No. 3
Li2BPd6: relaxed, GGA-PBE.

a = 4.231 Å, b = 5.617 Å, c = 6.530 Å
α = 115.48°, β = 108.81°, γ = 90.00°
Element x y z (fractional)
Pd  0.849  0.600  0.697
Pd  0.151  0.400  0.303
Pd  0.849  0.097  0.697
Pd  0.500  0.770  0.000
Pd  0.500  0.230  0.000
Pd  0.151  0.903  0.303
Li  0.332  0.330  0.661
Li  0.668  0.670  0.339
B  0.000  0.000  0.000

Calculated values
Theoretical density (Mg/m³): 8.4
Offset from the most stable computed form (kcal/mol of atoms): 7.21
Uncorrected energy (eV per atom): -4.689
N(E_F) (states/eV/f.u.): 4.6


No. 4
ErHfOsAu: relaxed, GGA-PBE.

a = 4.801 Å, b = 4.801 Å, c = 4.801 Å
α = 60.00°, β = 60.00°, γ = 60.00°
Element x y z (fractional)
Os  0.500  0.500  0.500
Er  0.750  0.750  0.750
Au  0.000  0.000  0.000
Hf  0.250  0.250  0.250

Calculated values
Theoretical density (Mg/m³): 15.6
Uncorrected energy (eV per atom): -7.717
N(E_F) (states/eV/f.u.): 3.1


Listing V for the structures above in their given order: 35.6, 27.1, 14.5, 19.6 A^3/atom.